Entry 1:
Compound: Ba3LaV
Source: the Alexandria database
Functional: PBE-GGA
Structure: optimized geometry Values from VASP.

Geometry as Quantum ESPRESSO input:
```
&SYSTEM
  ibrav = 0, nat = 5, ntyp = 3
/
ATOMIC_SPECIES
La 138.91 La.upf
Ba 137.33 Ba.upf
V 50.94 V.upf
CELL_PARAMETERS angstrom
-1.6441 -6.0978 1.0718
5.3959 -0.8675 3.3417
-3.0358 1.7605 5.3590
ATOMIC_POSITIONS crystal
La 0.0000 0.0000 0.0000
Ba 0.0000 0.5000 0.0000
Ba 0.0000 0.0000 0.5000
Ba 0.5000 0.0000 0.0000
V 0.5000 0.5000 0.5000
```

Output
energy of formation = 1.1876 eV per atom
energy above the lowest structure with this stoichiometry = 443 meV/atom
density of states at the Fermi level = 2.563 states/eV/atom

Entry 2:
Compound: Ba3LaV
Source: the Alexandria database
Functional: PBE-GGA
Structure: optimized geometry Values from VASP.

Geometry as Quantum ESPRESSO input:
```
&SYSTEM
  ibrav = 0, nat = 5, ntyp = 3
/
ATOMIC_SPECIES
La 138.91 La.upf
Ba 137.33 Ba.upf
V 50.94 V.upf
CELL_PARAMETERS angstrom
-2.0136 0.5376 5.9778
-0.2155 -6.3076 0.4947
5.9980 -0.0461 2.0246
ATOMIC_POSITIONS crystal
La 0.5000 0.5000 0.5000
Ba 0.0000 0.5000 0.0000
Ba 0.0000 0.0000 0.5000
Ba 0.5000 0.0000 0.0000
V 0.0000 0.0000 0.0000
```

Output
energy of formation = 0.7447 eV per atom
energy above the lowest structure with this stoichiometry = 0 meV/atom
density of states at the Fermi level = 1.884 states/eV/atom

Entry 3:
Compound: BaLaV2
Source: the Alexandria database
Functional: PBE-GGA
Structure: optimized geometry Values from VASP.

Geometry as Quantum ESPRESSO input:
```
&SYSTEM
  ibrav = 0, nat = 8, ntyp = 3
/
ATOMIC_SPECIES
La 138.91 La.upf
Ba 137.33 Ba.upf
V 50.94 V.upf
CELL_PARAMETERS angstrom
5.3142 0.0000 0.0000
0.0000 5.3142 0.0000
2.6571 2.6571 9.8446
ATOMIC_POSITIONS crystal
La 0.0000 0.0000 0.0000
La 0.7500 0.2500 0.5000
Ba 0.5000 0.5000 0.0000
Ba 0.2500 0.7500 0.5000
V 0.8737 0.1250 0.2500
V 0.8763 0.6250 0.2500
V 0.3750 0.1263 0.7500
V 0.8750 0.1237 0.7500
```

Output
energy of formation = 1.1827 eV per atom
energy above the lowest structure with this stoichiometry = 254 meV/atom
density of states at the Fermi level = 1.655 states/eV/atom

Entry 4:
Compound: BaLaV2
Source: the Alexandria database
Functional: PBE-GGA
Structure: optimized geometry Values from VASP.

Geometry as Quantum ESPRESSO input:
```
&SYSTEM
  ibrav = 0, nat = 4, ntyp = 3
/
ATOMIC_SPECIES
La 138.91 La.upf
Ba 137.33 Ba.upf
V 50.94 V.upf
CELL_PARAMETERS angstrom
0.0000 3.9168 3.9168
3.9168 0.0000 3.9168
3.9168 3.9168 0.0000
ATOMIC_POSITIONS crystal
La 0.5000 0.5000 0.5000
Ba 0.0000 0.0000 0.0000
V 0.2500 0.2500 0.2500
V 0.7500 0.7500 0.7500
```

Output
energy of formation = 0.9284 eV per atom
energy above the lowest structure with this stoichiometry = 0 meV/atom
density of states at the Fermi level = 1.886 states/eV/atom

Entry 5:
Compound: Ba2La2V
Source: the Alexandria database
Functional: PBE-GGA
Structure: optimized geometry Values from VASP.

Geometry as Quantum ESPRESSO input:
```
&SYSTEM
  ibrav = 0, nat = 10, ntyp = 3
/
ATOMIC_SPECIES
La 138.91 La.upf
Ba 137.33 Ba.upf
V 50.94 V.upf
CELL_PARAMETERS angstrom
8.2625 0.0000 0.0000
0.0000 8.2625 0.0000
0.0000 0.0000 5.8782
ATOMIC_POSITIONS crystal
La 0.1682 0.6682 0.5000
La 0.6682 0.8318 0.5000
La 0.8318 0.3318 0.5000
La 0.3318 0.1682 0.5000
Ba 0.3524 0.8524 0.0000
Ba 0.8524 0.6476 0.0000
Ba 0.6476 0.1476 0.0000
Ba 0.1476 0.3524 0.0000
V 0.0000 0.0000 0.0000
V 0.5000 0.5000 0.0000
```

Output
energy of formation = 0.7725 eV per atom
density of states at the Fermi level = 1.615 states/eV/atom

Entry 6:
Compound: BaLaW2
Source: the Alexandria database
Functional: PBE-GGA
Structure: optimized geometry Values from VASP.

Geometry as Quantum ESPRESSO input:
```
&SYSTEM
  ibrav = 0, nat = 4, ntyp = 3
/
ATOMIC_SPECIES
Ba 137.33 Ba.upf
W 183.84 W.upf
La 138.91 La.upf
CELL_PARAMETERS angstrom
-1.0662 0.0237 -2.8383
0.1518 -5.2680 -0.1010
-6.4299 -0.2316 2.4134
ATOMIC_POSITIONS crystal
Ba 0.5000 0.5000 0.2500
W 0.0000 0.0000 0.9263
W 0.0000 0.0000 0.5737
La 0.5000 0.5000 0.7500
```

Output
energy of formation = 1.1535 eV per atom
energy above the lowest structure with this stoichiometry = 545 meV/atom
density of states at the Fermi level = 1.114 states/eV/atom